Record 1
This record from Alexandria via LeMat-Bulk describes a geometry-optimized NdEuTeI structure. The functional is PBE-GGA.

Computed properties:
ΔE_f (raw), eV per atom: -1.168

Cell lengths 5.5696, 5.5696, 5.5696 Å; angles 60.00, 60.00, 60.00 degrees
Element x y z (fractional)
Nd1 0.0000 0.0000 0.0000
Eu1 0.5000 0.5000 0.5000
Te1 0.2500 0.2500 0.2500
I1 0.7500 0.7500 0.7500

---

Record 2
This record from Alexandria via LeMat-Bulk describes a geometry-optimized KYMg2As structure. The functional is PBE-GGA.

Computed properties:
DFT formation energy, meV per atom: 1285.5

Cell lengths 5.3246, 5.3246, 6.1708 Å; angles 90.00, 90.00, 90.00 degrees
Element x y z (fractional)
K1 0.0000 0.0000 0.0000
Y1 0.0000 0.0000 0.5000
Mg1 0.0000 0.5000 0.0000
Mg2 0.5000 0.0000 0.0000
As1 0.5000 0.5000 0.5000

---

Record 3
This record from Alexandria via LeMat-Bulk describes a geometry-optimized NdSi2TcOs structure. The functional is PBE-GGA.

Computed properties:
ΔE_f (raw), eV per atom: -0.648

Cell lengths 5.8259, 5.8259, 5.8259 Å; angles 137.71, 137.71, 61.35 degrees
Element x y z (fractional)
Nd1 0.0000 0.0000 0.0000
Si1 0.3701 0.3701 0.0000
Si2 0.6299 0.6299 0.0000
Tc1 0.7500 0.2500 0.5000
Os1 0.2500 0.7500 0.5000

---

Record 4
This record from Alexandria via LeMat-Bulk describes a geometry-optimized Eu2SnPb structure. The functional is PBE-GGA.

Computed properties:
DFT formation energy, meV per atom: -600.2

Cell lengths 5.0971, 5.0971, 4.6968 Å; angles 90.00, 90.00, 90.00 degrees
Element x y z (fractional)
Eu1 0.0000 0.5000 0.0000
Eu2 0.5000 0.0000 0.0000
Sn1 0.0000 0.0000 0.5000
Pb1 0.5000 0.5000 0.5000

---

no.,N(E_F) (states/eV/atom)
1,0.589
2,0.760
3,0.858
4,2.335